[1]
## Ca2Mg6InNi (PBE-GGA)

Data for Ca2Mg6InNi after structural relaxation.

a = 7.8088 Å, b = 6.9311 Å, c = 9.7353 Å
α = 90.00°, β = 90.00°, γ = 90.00°
Positions (direct):
Ca 0.5000 0.7304 0.2830
Ca 0.0000 0.2696 0.7830
Ca 0.5000 0.7304 0.7170
Ca 0.0000 0.2696 0.2170
Mg 0.5000 0.2044 0.2591
Mg 0.5000 0.2044 0.7409
Mg 0.0000 0.7956 0.2409
Mg 0.0000 0.7956 0.7591
Mg 0.1951 0.9623 0.5000
Mg 0.8049 0.9623 0.5000
Mg 0.3073 0.3787 0.5000
Mg 0.6927 0.3787 0.5000
Mg 0.8073 0.6213 0.0000
Mg 0.1927 0.6213 0.0000
Mg 0.3049 0.0377 0.0000
Mg 0.6951 0.0377 0.0000
In 0.0000 0.5869 0.5000
In 0.5000 0.4131 0.0000
Ni 0.5000 0.0699 0.5000
Ni 0.0000 0.9301 0.0000

Computed properties:
The formation energy is -55 meV/atom. The calculation puts the volume at 263.45 Å³/f.u. The symmetry is Pmmn (59). The value obtained for the mass density is 2.52 g/cm³. As for the density of states at the Fermi level: 9.8 states/eV/cell.


[2]
## Au4S (PBE-GGA)

Data for Au4S after structural relaxation.

a = 4.7850 Å, b = 4.7850 Å, c = 4.7850 Å
α = 90.00°, β = 90.00°, γ = 90.00°
Positions (direct):
S 0.5000 0.5000 0.5000
Au 0.0000 0.0000 0.0000
Au 0.5000 0.0000 0.5000
Au 0.0000 0.5000 0.5000
Au 0.5000 0.5000 0.0000

Computed properties:
The calculation puts the volume at 109.56 Å³/f.u. The symmetry is Pm-3m (221). For the formation energy (no corrections), the calculation gives 13.077 kcal/mol of atoms. The value obtained for the mass density is 12.43 g/cm³. As for the density of states at the Fermi level: 3.5 states/eV/cell.


[3]
## LiTiAg2 (PBE-GGA)

Data for LiTiAg2 after structural relaxation.

a = 2.8464 Å, b = 2.8464 Å, c = 10.1161 Å
α = 81.91°, β = 81.91°, γ = 60.00°
Positions (direct):
Li 0.5000 0.5000 0.5000
Ag 0.0907 0.0907 0.7278
Ag 0.9093 0.9093 0.2722
Ti 0.0000 0.0000 0.0000

Computed properties:
The formation energy is 175 meV/atom. The calculation puts the volume at 70.04 Å³/f.u. The symmetry is R-3m (166). The value obtained for the mass density is 6.41 g/cm³. As for the density of states at the Fermi level: 2.8 states/eV/cell.